one | ## Pm3ErTl4 (PBE-GGA)

Data for an optimized crystal structure of Pm3ErTl4.

abc: 3.831 3.831 15.574
angles: 90.00 90.00 90.00
Positions (direct):
Tl1 0.000 0.000 0.884
Pm1 0.500 0.500 0.244
Tl2 0.000 0.000 0.628
Pm2 0.500 0.500 0.500
Tl3 0.000 0.000 0.372
Er1 0.500 0.500 0.000
Pm3 0.500 0.500 0.756
Tl4 0.000 0.000 0.116

---

two | ## Pm3ErTl4 (PBE-GGA)

Data for an optimized crystal structure of Pm3ErTl4.

abc: 3.668 7.186 10.231
angles: 110.54 100.33 90.00
Positions (direct):
Tl1 0.375 0.593 0.749
Pm1 0.000 0.500 0.000
Tl2 0.625 0.407 0.251
Pm2 0.220 0.220 0.440
Er1 0.500 0.000 0.000
Pm3 0.780 0.780 0.560
Tl3 0.625 0.844 0.251
Tl4 0.375 0.156 0.749

---

Winner for stability: one

---

one | ## Pm2Er2Tl (PBE-GGA)

Data for an optimized crystal structure of Pm2Er2Tl.

abc: 8.541 6.380 9.011
angles: 69.38 58.26 47.98
Positions (direct):
Er1 0.279 0.000 0.565
Tl1 0.170 0.660 0.000
Pm1 0.947 0.373 0.288
Pm2 0.680 0.373 0.712
Pm3 0.320 0.627 0.288
Pm4 0.053 0.627 0.712
Er2 0.611 0.000 0.112
Er3 0.721 0.000 0.435
Er4 0.389 0.000 0.888
Tl2 0.830 0.340 0.000

---

two | ## Pm2Er2Tl (PBE-GGA)

Data for an optimized crystal structure of Pm2Er2Tl.

abc: 5.459 5.459 12.171
angles: 90.00 90.00 120.00
Positions (direct):
Er1 0.333 0.667 0.250
Er2 0.000 0.000 0.500
Er3 0.667 0.333 0.750
Tl1 0.000 0.000 0.250
Pm1 0.667 0.333 0.414
Er4 0.000 0.000 0.000
Pm2 0.333 0.667 0.914
Pm3 0.667 0.333 0.086
Tl2 0.000 0.000 0.750
Pm4 0.333 0.667 0.586

---

Winner for stability: one

---

one | ## Pm2ErTl (PBE-GGA)

Data for an optimized crystal structure of Pm2ErTl.

abc: 6.203 8.067 9.885
angles: 90.00 90.00 90.00
Positions (direct):
Er1 0.250 0.909 0.750
Pm1 0.250 0.076 0.440
Er2 0.750 0.591 0.750
Tl1 0.000 0.750 0.250
Pm2 0.750 0.424 0.060
Tl2 0.500 0.750 0.250
Tl3 0.000 0.250 0.750
Tl4 0.500 0.250 0.750
Pm3 0.750 0.424 0.440
Er3 0.250 0.409 0.250
Pm4 0.250 0.576 0.560
Er4 0.750 0.091 0.250
Pm5 0.250 0.076 0.060
Pm6 0.750 0.924 0.940
Pm7 0.750 0.924 0.560
Pm8 0.250 0.576 0.940

---

two | ## Pm2ErTl (PBE-GGA)

Data for an optimized crystal structure of Pm2ErTl.

abc: 3.643 3.643 9.438
angles: 90.00 90.00 90.00
Positions (direct):
Pm1 0.000 0.000 0.232
Er1 0.500 0.500 0.500
Pm2 0.000 0.000 0.768
Tl1 0.500 0.500 0.000

---

Winner for stability: two

---

one | ## Pm2ErTl (PBE-GGA)

Data for an optimized crystal structure of Pm2ErTl.

abc: 5.550 5.550 5.550
angles: 60.00 60.00 60.00
Positions (direct):
Tl1 0.500 0.500 0.500
Er1 0.000 0.000 0.000
Pm1 0.750 0.750 0.750
Pm2 0.250 0.250 0.250

---

two | ## Pm2ErTl (PBE-GGA)

Data for an optimized crystal structure of Pm2ErTl.

abc: 3.604 3.604 11.477
angles: 80.97 80.97 60.00
Positions (direct):
Pm1 0.748 0.748 0.756
Er1 0.500 0.500 0.500
Pm2 0.252 0.252 0.244
Tl1 0.000 0.000 0.000

---

three | ## Pm2ErTl (PBE-GGA)

Data for an optimized crystal structure of Pm2ErTl.

abc: 4.810 4.810 6.142
angles: 113.05 113.05 90.00
Positions (direct):
Er1 0.500 0.500 0.000
Tl1 0.000 0.000 0.000
Pm1 0.250 0.750 0.500
Pm2 0.750 0.250 0.500

---

Winner for stability: three

---

one | ## Pm2ErTl (PBE-GGA)

Data for an optimized crystal structure of Pm2ErTl.

abc: 3.673 3.673 11.188
angles: 80.55 80.55 60.00
Positions (direct):
Pm1 0.080 0.080 0.760
Er1 0.500 0.500 0.500
Pm2 0.253 0.253 0.240
Tl1 0.666 0.666 0.001

---

two | ## Pm2ErTl (PBE-GGA)

Data for an optimized crystal structure of Pm2ErTl.

abc: 4.990 4.877 4.877
angles: 90.00 90.00 90.00
Positions (direct):
Tl1 0.500 0.000 0.000
Pm1 0.000 0.500 0.000
Er1 0.500 0.500 0.500
Pm2 0.000 0.000 0.500

---

Winner for stability: two

---

one | ## PmEr4Tl (PBE-GGA)

Data for an optimized crystal structure of PmEr4Tl.

abc: 3.578 3.578 14.149
angles: 90.00 90.00 90.00
Positions (direct):
Er1 0.500 0.500 0.821
Er2 0.500 0.500 0.179
Er3 0.000 0.000 0.351
Er4 0.000 0.000 0.649
Tl1 0.500 0.500 0.500
Pm1 0.000 0.000 0.000

---

two | ## PmEr4Tl (PBE-GGA)

Data for an optimized crystal structure of PmEr4Tl.

abc: 5.533 6.503 10.879
angles: 90.00 104.73 90.00
Positions (direct):
Er1 0.683 0.412 0.366
Tl1 0.602 0.016 0.205
Er2 0.541 0.592 0.082
Er3 0.861 0.255 0.721
Er4 0.255 0.390 0.511
Tl2 0.398 0.516 0.795
Er5 0.317 0.912 0.634
Er6 0.745 0.890 0.489
Pm1 0.937 0.768 0.873
Er7 0.459 0.092 0.918
Er8 0.139 0.755 0.279
Pm2 0.063 0.268 0.127

---

Winner for stability: one